Here is a relaxed GdMgZn crystal from OQMD via LeMat-Bulk. Energies are from PBE.

abc: 5.007 5.007 9.253
angles: 90.00 90.00 120.00
Sites, in units of the cell vectors:
Gd: 0.000 0.000 0.000
Gd: 0.333 0.667 0.184
Gd: 0.667 0.333 0.603
Mg: 0.000 0.000 0.366
Mg: 0.000 0.000 0.683
Mg: 0.333 0.667 0.518
Zn: 0.333 0.667 0.835
Zn: 0.667 0.333 0.259
Zn: 0.667 0.333 0.939

Calculated values
The total energy comes out at -2.596 eV/atom.